Entry 1:
4
Lattice="-3.195 0.304 -0.431 -0.398 -3.126 0.746 -0.836 1.908 7.548" Properties=species:S:1:pos:R:3 comment="PuZr2Cr PBE relaxed" final_energy_ry_per_atom=-0.7396 magnetic_moment_mub_per_cell=4.60 polymorph_energy_mev_per_atom=0 sg="P4/mmm (123)" e_form_ev_per_atom=0.200 pbc="T T T"
Cr -1.796 -1.411 0.158
Zr -0.665 1.517 6.001
Zr -0.171 0.391 1.547
Pu -2.214 -0.457 3.932

Entry 2:
6
Lattice="5.067 0.000 0.000 2.534 4.389 0.000 2.534 1.463 4.138" Properties=species:S:1:pos:R:3 comment="PuZrCr4 PBE relaxed" final_energy_ry_per_atom=-0.7350 magnetic_moment_mub_per_cell=4.31 sg="F-43m (216)" e_form_ev_per_atom=0.229 pbc="T T T"
Cr 5.067 2.926 0.516
Cr 5.067 1.462 2.586
Cr 6.335 3.658 2.586
Cr 3.799 3.658 2.586
Zr 0.000 0.000 0.000
Pu 2.534 1.463 1.034

Entry 3:
5
Lattice="-4.574 1.623 2.440 -2.889 -1.737 -4.259 -0.493 -4.884 2.326" Properties=species:S:1:pos:R:3 comment="RbCr4 PBE relaxed" final_energy_ry_per_atom=-0.3838 magnetic_moment_mub_per_cell=10.19 sg="Pm-3m (221)" e_form_ev_per_atom=2.671 pbc="T T T"
Cr 0.000 0.000 0.000
Cr -2.533 -1.630 2.383
Cr -1.691 -3.311 -0.967
Cr -3.731 -0.057 -0.910
Rb -3.978 -2.499 0.253

Entry 4:
5
Lattice="4.919 0.000 0.000 0.000 4.919 0.000 0.000 0.000 4.919" Properties=species:S:1:pos:R:3 comment="RbCr3Re PBE relaxed" final_energy_ry_per_atom=-0.5228 magnetic_moment_mub_per_cell=9.07 polymorph_energy_mev_per_atom=0 sg="Pm-3m (221)" e_form_ev_per_atom=1.344 pbc="T T T"
Re 0.000 0.000 0.000
Rb 2.459 2.459 2.459
Cr 0.000 2.459 0.000
Cr 0.000 0.000 2.459
Cr 2.459 0.000 0.000

Entry 5:
5
Lattice="-0.015 -2.725 3.703 -1.176 -3.577 -2.637 4.444 -0.956 -0.685" Properties=species:S:1:pos:R:3 comment="RbCrRe3 PBE relaxed" final_energy_ry_per_atom=-0.3864 magnetic_moment_mub_per_cell=0.00 polymorph_energy_mev_per_atom=2304 sg="Pm-3m (221)" e_form_ev_per_atom=4.330 pbc="T T T"
Re -0.588 -1.789 -1.318
Re 2.222 -0.478 -0.343
Re -0.008 -1.362 1.851
Rb 0.000 0.000 0.000
Cr 1.626 -3.629 0.190

Entry 6:
5
Lattice="4.578 0.000 0.000 0.000 4.578 0.000 0.000 0.000 4.578" Properties=species:S:1:pos:R:3 comment="RbCr3Re PBE relaxed" final_energy_ry_per_atom=-0.3888 magnetic_moment_mub_per_cell=6.54 polymorph_energy_mev_per_atom=1824 sg="Pm-3m (221)" e_form_ev_per_atom=3.168 pbc="T T T"
Re 2.289 2.289 2.289
Rb 0.000 0.000 0.000
Cr 0.000 2.289 0.000
Cr 0.000 0.000 2.289
Cr 2.289 0.000 0.000

Entry 7:
5
Lattice="4.668 0.000 0.000 0.000 4.668 0.000 0.000 0.000 4.668" Properties=species:S:1:pos:R:3 comment="RbCrRe3 PBE relaxed" final_energy_ry_per_atom=-0.5557 magnetic_moment_mub_per_cell=2.71 polymorph_energy_mev_per_atom=0 sg="Pm-3m (221)" e_form_ev_per_atom=2.026 pbc="T T T"
Re 0.000 2.334 0.000
Re 0.000 0.000 2.334
Re 2.334 0.000 0.000
Rb 2.334 2.334 2.334
Cr 0.000 0.000 0.000

Entry 8:
5
Lattice="-0.122 3.457 3.775 1.466 -3.259 3.033 4.862 1.260 -0.997" Properties=species:S:1:pos:R:3 comment="RbZn2CrRe PBE relaxed" final_energy_ry_per_atom=-0.3205 magnetic_moment_mub_per_cell=2.72 sg="P4/mmm (123)" e_form_ev_per_atom=0.756 pbc="T T T"
Re 0.000 0.000 0.000
Zn 2.431 0.630 -0.498
Zn -0.061 1.729 1.887
Rb 3.103 0.729 2.905
Cr 0.733 -1.630 1.516

Entry 9:
5
Lattice="5.043 0.000 0.000 0.000 5.043 0.000 0.000 0.000 5.043" Properties=species:S:1:pos:R:3 comment="RbCr3Rh PBE relaxed" final_energy_ry_per_atom=-0.4620 magnetic_moment_mub_per_cell=12.40 polymorph_energy_mev_per_atom=0 sg="Pm-3m (221)" e_form_ev_per_atom=1.152 pbc="T T T"
Cr 0.000 2.521 0.000
Cr 0.000 0.000 2.521
Cr 2.521 0.000 0.000
Rh 0.000 0.000 0.000
Rb 2.521 2.521 2.521

Entry 10:
5
Lattice="4.341 0.000 0.000 0.000 4.341 0.000 0.000 0.000 4.341" Properties=species:S:1:pos:R:3 comment="RbCr3Rh PBE relaxed" final_energy_ry_per_atom=-0.3256 magnetic_moment_mub_per_cell=1.74 polymorph_energy_mev_per_atom=1856 sg="Pm-3m (221)" e_form_ev_per_atom=3.007 pbc="T T T"
Cr 0.000 2.171 0.000
Cr 0.000 0.000 2.171
Cr 2.171 0.000 0.000
Rh 2.171 2.171 2.171
Rb 0.000 0.000 0.000

Entry 11:
12
Lattice="3.581 0.000 0.000 0.000 8.354 0.027 0.000 -3.991 8.567" Properties=species:S:1:pos:R:3 comment="RbCrRhS3 PBE relaxed" final_energy_ry_per_atom=-0.4220 magnetic_moment_mub_per_cell=2.85 formation_energy_uncorrected_mev_per_atom=-688 sg="P2_1/m (11)" pbc="T T T"
Rb 0.895 0.961 2.189
Rb 2.686 3.401 6.404
Cr 0.895 5.039 1.411
Cr 2.686 -0.677 7.183
Rh 0.895 -1.517 5.165
Rh 2.686 5.879 3.428
S 2.686 6.643 1.239
S 0.895 -2.281 7.355
S 0.895 4.478 3.646
S 2.686 -0.116 4.948
S 2.686 3.451 1.035
S 0.895 0.911 7.558

Entry 12:
12
Lattice="-1.864 -0.573 -3.229 7.226 -3.186 -3.605 -5.818 -6.585 4.526" Properties=species:S:1:pos:R:3 comment="RbCrRhSe3 PBE relaxed" final_energy_ry_per_atom=-0.3920 magnetic_moment_mub_per_cell=2.93 formation_energy_uncorrected_mev_per_atom=-601 sg="P2_1/m (11)" pbc="T T T"
Rb -0.247 -2.621 -0.494
Rb -0.208 -7.723 -1.814
Cr 3.564 -3.423 -2.551
Cr -4.019 -6.921 0.243
Rh -3.317 -4.412 1.596
Rh 2.862 -5.932 -3.903
Se 4.099 -4.093 -4.944
Se -4.555 -6.251 2.637
Se 2.467 -5.387 -1.569
Se -2.922 -4.958 -0.739
Se 1.295 -2.764 -3.561
Se -1.750 -7.581 1.254

Entry 13:
5
Lattice="5.684 0.000 0.000 0.000 6.404 0.000 0.000 0.000 5.684" Properties=species:S:1:pos:R:3 comment="RbSrCr2Rh PBE relaxed" final_energy_ry_per_atom=-0.2650 magnetic_moment_mub_per_cell=9.23 sg="P4/mmm (123)" e_form_ev_per_atom=2.244 pbc="T T T"
Sr 0.000 0.000 0.000
Rh 2.842 3.202 2.842
Rb 0.000 3.202 0.000
Cr 0.000 0.000 2.842
Cr 2.842 0.000 0.000

Entry 14:
5
Lattice="-3.959 0.108 3.152 1.862 -3.723 2.466 2.481 3.231 3.005" Properties=species:S:1:pos:R:3 comment="RbTaCr2Rh PBE relaxed" final_energy_ry_per_atom=-0.4887 magnetic_moment_mub_per_cell=6.76 sg="P4/mmm (123)" e_form_ev_per_atom=1.234 pbc="T T T"
Cr 1.240 1.616 1.502
Cr -1.980 0.054 1.576
Rh 0.931 -1.861 1.233
Rb 0.191 -0.191 4.312
Ta 0.000 0.000 0.000

Entry 15:
5
Lattice="-2.091 1.135 3.968 -3.301 -3.128 -0.845 2.476 -3.214 2.224" Properties=species:S:1:pos:R:3 comment="RbTi2CrRh PBE relaxed" final_energy_ry_per_atom=-0.3119 magnetic_moment_mub_per_cell=0.36 sg="P4/mmm (123)" e_form_ev_per_atom=2.502 pbc="T T T"
Cr -1.458 -2.603 2.673
Rh -1.650 -1.564 -0.422
Rb 0.000 0.000 0.000
Ti 1.238 -1.607 1.112
Ti -1.045 0.567 1.984

Entry 16:
8
Lattice="-0.798 13.184 -0.596 -10.008 -0.993 -8.583 -6.894 6.084 -2.849" Properties=species:S:1:pos:R:3 comment="Rb2CrRu PBE relaxed" final_energy_ry_per_atom=-0.3012 magnetic_moment_mub_per_cell=6.63 polymorph_energy_mev_per_atom=0 sg="I-42d (122)" e_form_ev_per_atom=1.110 pbc="T T T"
Ru 0.000 0.000 0.000
Ru -6.547 12.682 -4.017
Rb -3.636 12.324 -2.279
Rb -8.713 13.045 -6.625
Rb -7.183 9.337 -3.829
Rb -6.658 16.021 -3.335
Cr -5.403 6.095 -4.589
Cr -11.152 5.593 -8.011

Entry 17:
5
Lattice="-2.578 0.231 -3.831 -1.490 -4.313 0.743 -3.537 1.649 2.480" Properties=species:S:1:pos:R:3 comment="RbCrRu3 PBE relaxed" final_energy_ry_per_atom=-0.3099 magnetic_moment_mub_per_cell=1.31 sg="Pm-3m (221)" e_form_ev_per_atom=3.468 pbc="T T T"
Ru -0.745 -2.157 0.371
Ru -1.768 0.824 1.240
Ru -1.289 0.116 -1.915
Rb 0.000 0.000 0.000
Cr -3.803 -1.217 -0.304

Entry 18:
4
Lattice="0.000 4.135 4.135 4.135 0.000 4.135 4.135 4.135 0.000" Properties=species:S:1:pos:R:3 comment="Rb2CrRu PBE relaxed" final_energy_ry_per_atom=-0.2539 magnetic_moment_mub_per_cell=3.17 polymorph_energy_mev_per_atom=644 sg="Fm-3m (225)" e_form_ev_per_atom=1.753 pbc="T T T"
Ru 4.135 4.135 4.135
Rb 2.067 2.067 2.067
Rb 6.202 6.202 6.202
Cr 0.000 0.000 0.000

Entry 19:
4
Lattice="0.000 3.171 3.171 3.171 0.000 3.171 3.171 3.171 0.000" Properties=species:S:1:pos:R:3 comment="RbCr2Ru PBE relaxed" final_energy_ry_per_atom=-0.4052 magnetic_moment_mub_per_cell=0.00 polymorph_energy_mev_per_atom=570 sg="Fm-3m (225)" e_form_ev_per_atom=1.860 pbc="T T T"
Ru 3.171 3.171 3.171
Rb 0.000 0.000 0.000
Cr 1.586 1.586 1.586
Cr 4.757 4.757 4.757

Entry 20:
8
Lattice="-1.575 -0.409 -5.676 -1.378 -5.686 0.792 -8.432 -1.113 -0.651" Properties=species:S:1:pos:R:3 comment="RbCr2Ru PBE relaxed" final_energy_ry_per_atom=-0.4471 magnetic_moment_mub_per_cell=15.06 polymorph_energy_mev_per_atom=0 sg="I4_1/amd (141)" e_form_ev_per_atom=1.290 pbc="T T T"
Ru 0.000 0.000 0.000
Ru -5.741 -2.285 -4.385
Rb -1.476 -3.048 -2.442
Rb -5.643 -4.924 -1.150
Cr -3.658 -1.347 -5.031
Cr -4.347 -4.190 -4.633
Cr -7.086 -1.698 -2.518
Cr -7.874 -1.905 -5.356